First-principles (GGA-PBE) data for a relaxed La2TbH4 crystal, as listed in Alexandria via LeMat-Bulk.

Space group: No. 139
N(E_F), states/eV/cell: 4.87
Total DFT energy (no corrections), eV/atom: -4.30

```
La2TbH4
1.0
4.1015 0.0000 0.0000
0.0000 4.1015 0.0000
2.0508 2.0508 6.8569
H La Tb
4 2 1
Cartesian
4.1015 4.1015 2.2324
2.0508 2.0508 4.6244
2.0508 0.0000 0.0000
0.0000 2.0508 0.0000
2.0508 2.0508 2.2378
4.1015 4.1015 4.6190
0.0000 0.0000 0.0000
```

=====

First-principles (GGA-PBE) data for a relaxed LaTb3H crystal, as listed in Alexandria via LeMat-Bulk.

Space group: No. 221
N(E_F), states/eV/cell: 4.24
Total DFT energy (no corrections), eV/atom: -4.60

```
LaTb3H
1.0
-3.5325 -3.4999 -0.9720
3.2238 -2.3962 -3.0883
1.6736 -2.7715 3.8975
Tb H La
3 1 1
Cartesian
-1.7663 -1.7499 -0.4860
0.8368 -1.3858 1.9487
1.6119 -1.1981 -1.5441
0.0000 0.0000 0.0000
0.6825 -4.3338 -0.0814
```